A plane-wave DFT calculation with PBE was carried out for KZnP2 after structural relaxation.

The space group is Imm2 (No. 44) and the conventional cell measures 3.320, 5.693 and 10.145 Å, with angles of 90.00, 90.00 and 90.00 degrees. The inequivalent atoms are K at (0.000, 0.000, 0.000), Zn at (0.000, 0.500, 0.191), P at (0.000, 0.000, 0.439) and P at (0.000, 0.500, 0.798).

For the formation energy, the calculation gives -0.010 eV/atom. As for the calculated volume: 191.7 Å³ per cell. The density of states at the Fermi level is 0.31 states/eV/atom. Its total moment is 0.00 μB per cell.